DFT (GGA-PBE) results for a geometry-optimized NbCoAs2 structure.

a b c (Å): 6.2299 6.2299 6.2299
angles (deg): 90.00 90.00 90.00
Closest atoms and distances in Å follow each position.
Element x y z (fractional)
Nb  0.0000  0.0000  0.0000  8 As 2.70
Nb  0.0000  0.5000  0.5000  8 As 2.70
Nb  0.5000  0.0000  0.5000  8 As 2.70
Nb  0.5000  0.5000  0.0000  8 As 2.70
Co  0.0000  0.0000  0.5000  8 As 2.70
Co  0.0000  0.5000  0.0000  8 As 2.70
Co  0.5000  0.0000  0.0000  8 As 2.70
Co  0.5000  0.5000  0.5000  8 As 2.70
As  0.2500  0.2500  0.2500  4 Nb 2.70, 4 Co 2.70
As  0.2500  0.2500  0.7500  4 Nb 2.70, 4 Co 2.70
As  0.2500  0.7500  0.2500  4 Nb 2.70, 4 Co 2.70
As  0.2500  0.7500  0.7500  4 Nb 2.70, 4 Co 2.70
As  0.7500  0.2500  0.2500  4 Nb 2.70, 4 Co 2.70
As  0.7500  0.2500  0.7500  4 Nb 2.70, 4 Co 2.70
As  0.7500  0.7500  0.2500  4 Nb 2.70, 4 Co 2.70
As  0.7500  0.7500  0.7500  4 Co 2.70, 4 Nb 2.70

Properties
- ΔE_f (eV per formula unit) = -0.29
- Fermi-level density of states (states/eV/atom) = 0.419